A geometry-optimized CdFeBi2Rh structure. Source: Alexandria via LeMat-Bulk, functional PBE-GGA.

Results
D(E_F): 4.4 states/eV/f.u.
DFT total energy: -4.189 eV per atom

a b c (Å): 4.899 4.899 4.944
angles (deg): 90.00 90.00 90.00
Space group P4/mmm (No. 123)
Asymmetric unit:
Cd: 0.000 0.000 0.000 [1 per cell]
Fe: 0.000 0.000 0.500 [1 per cell]
Bi: 0.000 0.500 0.500 [2 per cell]
Rh: 0.500 0.500 0.000 [1 per cell]